No. 1
CdMo2Ir after structural relaxation, computed with PBE.

Cell lengths 4.9244, 4.9244, 4.9244 Å; angles 131.70, 131.70, 70.70 degrees
Last column: nearest neighbours and their distance in Å.
Positions (direct):
Ir: 0.7500 0.2500 0.5000  8 Mo 2.84-2.85, 4 Cd 2.84
Mo: 0.0000 0.0000 0.0000  4 Mo 2.84, 4 Ir 2.84, 4 Cd 2.85
Mo: 0.2500 0.7500 0.5000  4 Cd 2.84, 4 Mo 2.84, 4 Ir 2.85
Cd: 0.5000 0.5000 0.0000  4 Ir 2.84, 8 Mo 2.84-2.85

Calculated values
- DOS(E_F) (states/eV per atom) = 0.812
- SG = No. 119
- magnetic moment (μB per formula unit) = 0.00
- crystal system = tetragonal
- calculated total energy (eV/atom) = -7.55
- calculated formation energy (eV/atom) = 0.309

=====

No. 2
CdMoIrRh2 after structural relaxation, computed with PBE.

Cell lengths 4.6918, 4.7800, 4.6918 Å; angles 90.00, 90.00, 90.00 degrees
Last column: nearest neighbours and their distance in Å.
Positions (direct):
Rh: 0.0000 0.0000 0.5000  2 Cd 2.35
Mo: 0.5000 0.5000 0.5000  4 Ir 3.32, 8 Rh 3.35
Cd: 0.0000 0.0000 0.0000  4 Rh 2.35, 2 Ir 2.39
Ir: 0.0000 0.5000 0.0000  2 Cd 2.39
Rh: 0.5000 0.0000 0.0000  2 Cd 2.35

Calculated values
- DOS(E_F) (states/eV per atom) = 2.885
- SG = No. 123
- magnetic moment (μB per formula unit) = 0.00
- crystal system = tetragonal
- calculated total energy (eV/atom) = -4.83
- calculated formation energy (eV/atom) = 2.229

=====

No. 3
CdSnMoIr2 after structural relaxation, computed with PBE.

Cell lengths 4.7589, 5.2384, 4.7589 Å; angles 90.00, 90.00, 90.00 degrees
Last column: nearest neighbours and their distance in Å.
Positions (direct):
Cd: 0.0000 0.5000 0.0000  2 Mo 2.62
Ir: 0.0000 0.0000 0.5000  2 Mo 2.38
Ir: 0.5000 0.0000 0.0000  2 Mo 2.38
Mo: 0.0000 0.0000 0.0000  4 Ir 2.38, 2 Cd 2.62
Sn: 0.5000 0.5000 0.5000  4 Cd 3.37, 8 Ir 3.54

Calculated values
- DOS(E_F) (states/eV per atom) = 0.984
- SG = No. 123
- magnetic moment (μB per formula unit) = 0.00
- crystal system = tetragonal
- calculated total energy (eV/atom) = -5.53
- calculated formation energy (eV/atom) = 1.159

=====

No. 4
CdTeMo2Ir after structural relaxation, computed with PBE.

Cell lengths 6.8000, 3.1159, 9.2458 Å; angles 90.00, 99.03, 90.00 degrees
Last column: nearest neighbours and their distance in Å.
Positions (direct):
Ir: 0.2446 0.5000 0.6094  5 Mo 2.65-2.84, 2 Cd 2.95
Mo: 0.9446 0.0000 0.4966  2 Ir 2.65, 3 Mo 2.71-2.87, 3 Te 2.85-2.86
Cd: 0.4641 0.0000 0.4152  3 Ir 2.95-2.98, 3 Mo 2.97-3.24, 1 Te 3.08, 2 Cd 3.12
Mo: 0.9446 0.5000 0.9966  2 Ir 2.65, 3 Mo 2.71-2.87, 3 Te 2.85-2.86
Te: 0.7610 0.5000 0.6961  5 Mo 2.83-2.86, 1 Cd 3.08, 2 Te 3.12
Te: 0.7610 0.0000 0.1961  5 Mo 2.83-2.86, 1 Cd 3.08, 2 Te 3.12
Mo: 0.1003 0.0000 0.8038  3 Ir 2.68-2.84, 3 Mo 2.71-2.87, 2 Te 2.83, 2 Cd 2.97
Mo: 0.1003 0.5000 0.3038  3 Ir 2.68-2.84, 3 Mo 2.71-2.87, 2 Te 2.83, 2 Cd 2.97
Cd: 0.4641 0.5000 0.9152  3 Ir 2.95-2.98, 3 Mo 2.97-3.24, 1 Te 3.08, 2 Cd 3.12
Ir: 0.2446 0.0000 0.1094  5 Mo 2.65-2.84, 2 Cd 2.95

Calculated values
- DOS(E_F) (states/eV per atom) = 0.947
- SG = No. 8
- magnetic moment (μB per formula unit) = 0.00
- crystal system = monoclinic
- ΔE to the lowest computed polymorph (eV/f.u.) = 0.188
- calculated total energy (eV/atom) = -6.68
- formation energy (no corrections) (meV/atom) = 240

=====

No. 5
CdTeMo2Ir after structural relaxation, computed with PBE.

Cell lengths 3.1297, 5.2552, 6.6278 Å; angles 76.93, 76.42, 72.69 degrees
Last column: nearest neighbours and their distance in Å.
Positions (direct):
Cd: 0.1593 0.9616 0.3288  3 Ir 2.84-2.88, 3 Mo 3.06-3.07, 2 Cd 3.13
Te: 0.8351 0.1297 0.8103  1 Ir 2.68, 4 Mo 2.74-2.78
Mo: 0.1090 0.5845 0.8076  2 Mo 2.53-2.54, 3 Te 2.74-2.77
Mo: 0.5170 0.4573 0.1180  2 Mo 2.53-2.54, 2 Ir 2.67-2.68, 1 Te 2.78
Ir: 0.8356 0.4877 0.4501  4 Mo 2.67-2.89, 1 Te 2.68, 3 Cd 2.84-2.88

Calculated values
- DOS(E_F) (states/eV per atom) = 0.678
- SG = No. 1
- magnetic moment (μB per formula unit) = 0.00
- crystal system = triclinic
- ΔE to the lowest computed polymorph (eV/f.u.) = 0.850
- calculated total energy (eV/atom) = -6.54
- formation energy (no corrections) (meV/atom) = 372

=====

No. 6
CdTeMo2Ir after structural relaxation, computed with PBE.

Cell lengths 3.8531, 3.8533, 6.7269 Å; angles 90.00, 90.00, 90.00 degrees
Last column: nearest neighbours and their distance in Å.
Positions (direct):
Mo: 0.0000 0.0000 0.9635  4 Mo 2.72, 2 Ir 2.73, 2 Te 2.83
Ir: 0.5000 0.0000 0.6756  1 Te 2.72, 4 Mo 2.73, 4 Cd 2.76
Mo: 0.5000 0.5000 0.9635  4 Mo 2.72, 2 Ir 2.73, 2 Te 2.83
Cd: 0.0000 0.5000 0.6109  4 Ir 2.76, 4 Mo 3.06
Te: 0.5000 0.0000 0.2718  1 Ir 2.72, 4 Mo 2.83

Calculated values
- DOS(E_F) (states/eV per atom) = 0.628
- SG = No. 99
- magnetic moment (μB per formula unit) = 0.00
- crystal system = tetragonal
- ΔE to the lowest computed polymorph (eV/f.u.) = 0.138
- calculated total energy (eV/atom) = -6.69
- formation energy (no corrections) (meV/atom) = 230